# 1
The following is a PBE calculation of a geometry-optimized Ba3SbAu structure, from Alexandria via LeMat-Bulk.

Cell: 11.1180 16.5375 4.8312 Å, 90.00 90.00 90.00°
Space group Cmmm (No. 65)
Unique sites:
Ba 0.0000 0.1504 0.0000 x4
Ba 0.1866 0.3845 0.5000 x8
Sb 0.0000 0.0000 0.5000 x2
Sb 0.0000 0.5000 0.0000 x2
Au 0.2500 0.2500 0.0000 x4

Computed properties:
**Magnetic moment**: 0.00 μB/f.u.
**Energy relative to the lowest polymorph listed for this composition**: 0 meV/atom
**Total DFT energy (no corrections)**: -3.333 eV per atom
**Formation energy without anion corrections**: -3.5 eV/f.u.
**Volume**: 44.41 A^3/atom

***

# 2
The following is a PBE calculation of a geometry-optimized Mo2RhSe structure, from Alexandria via LeMat-Bulk.

Cell: 2.8718 4.1755 5.3495 Å, 90.00 99.44 90.00°
Space group Pm (No. 6)
Unique sites:
Mo 0.0000 0.0000 0.0000 x1
Mo 0.2574 0.5000 0.7473 x1
Rh 0.5851 0.5000 0.2576 x1
Se 0.0412 0.0000 0.4685 x1

Computed properties:
**Magnetic moment**: 0.00 μB/f.u.
**Total DFT energy (no corrections)**: -7.979 eV per atom
**Formation energy without anion corrections**: 0.6 eV/f.u.
**Volume**: 15.82 A^3/atom

***

# 3
The following is a PBE calculation of a geometry-optimized PH3Ru structure, from Alexandria via LeMat-Bulk.

Cell: 3.3983 3.3983 3.3983 Å, 90.00 90.00 90.00°
Space group Pm-3m (No. 221)
Unique sites:
P 0.0000 0.0000 0.0000 x1
H 0.0000 0.0000 0.5000 x3
Ru 0.5000 0.5000 0.5000 x1

Computed properties:
**Magnetic moment**: 1.65 μB/f.u.
**Energy relative to the lowest polymorph listed for this composition**: 455 meV/atom
**Total DFT energy (no corrections)**: -3.965 eV per atom
**Volume**: 7.85 A^3/atom

***

# 4
The following is a PBE calculation of a geometry-optimized NdHo2Er6Sc3 structure, from Alexandria via LeMat-Bulk.

Cell: 6.0172 10.4159 11.4319 Å, 90.00 100.09 90.00°
Space group C2/m (No. 12)
Unique sites:
Nd 0.0000 0.0000 0.0000 x2
Ho 0.0000 0.3334 0.0000 x4
Er 0.2463 0.3331 0.7401 x8
Er 0.2471 0.0000 0.7401 x4
Sc 0.0000 0.1669 0.5000 x4
Sc 0.0000 0.5000 0.5000 x2

Computed properties:
**Magnetic moment**: 0.00 μB/f.u.
**ΔE_f**: 0.5 eV/f.u.
**Total DFT energy (no corrections)**: -4.980 eV per atom
**Volume**: 29.39 A^3/atom

***

# 5
The following is a PBE calculation of a geometry-optimized AcZnAs structure, from Alexandria via LeMat-Bulk.

Cell: 7.1167 7.1167 7.1167 Å, 90.00 90.00 90.00°
Space group F-43m (No. 216)
Unique sites:
Ac 0.0000 0.0000 0.0000 x4
Zn 0.0000 0.0000 0.5000 x4
As 0.2500 0.2500 0.7500 x4

Computed properties:
**Magnetic moment**: 0.00 μB/f.u.
**ΔE_f**: -1.3 eV/f.u.
**Energy relative to the lowest polymorph listed for this composition**: 381 meV/atom
**Total DFT energy (no corrections)**: -3.767 eV per atom
**Volume**: 30.04 A^3/atom

***

# 6
The following is a PBE calculation of a geometry-optimized Ca2MnTlW structure, from Alexandria via LeMat-Bulk.

Cell: 5.5994 5.5994 4.3349 Å, 90.00 90.00 90.00°
Space group P4/mmm (No. 123)
Unique sites:
Ca 0.0000 0.5000 0.0000 x2
Mn 0.0000 0.0000 0.0000 x1
Tl 0.5000 0.5000 0.5000 x1
W 0.0000 0.0000 0.5000 x1

Computed properties:
**Magnetic moment**: 0.00 μB/f.u.
**ΔE_f**: 4.0 eV/f.u.
**Total DFT energy (no corrections)**: -4.902 eV per atom
**Volume**: 27.18 A^3/atom

***

# 7
The following is a PBE calculation of a geometry-optimized SrCdAg2Pd structure, from Alexandria via LeMat-Bulk.

Cell: 4.2482 4.3524 12.7417 Å, 90.00 90.00 90.00°
Space group Imm2 (No. 44)
Unique sites:
Sr 0.0000 0.0000 0.0000 x2
Cd 0.0000 0.5000 0.7668 x2
Ag 0.0000 0.0000 0.6200 x2
Ag 0.0000 0.5000 0.2694 x2
Pd 0.0000 0.0000 0.4094 x2

Computed properties:
**Magnetic moment**: 0.00 μB/f.u.
**ΔE_f**: -1.5 eV/f.u.
**Total DFT energy (no corrections)**: -3.005 eV per atom
**Volume**: 23.56 A^3/atom

***

# 8
The following is a PBE calculation of a geometry-optimized TaMn2Re structure, from Alexandria via LeMat-Bulk.

Cell: 6.0376 6.0376 6.0376 Å, 90.00 90.00 90.00°
Space group Fm-3m (No. 225)
Unique sites:
Ta 0.0000 0.0000 0.0000 x4
Mn 0.2500 0.2500 0.2500 x8
Re 0.0000 0.0000 0.5000 x4

Computed properties:
**Magnetic moment**: 2.00 μB/f.u.
**ΔE_f**: 0.1 eV/f.u.
**Energy relative to the lowest polymorph listed for this composition**: 39 meV/atom
**Total DFT energy (no corrections)**: -10.644 eV per atom
**Volume**: 13.76 A^3/atom

***

# 9
The following is a PBE calculation of a geometry-optimized VCuCl4 structure, from Alexandria via LeMat-Bulk.

Cell: 6.3867 3.4828 6.5733 Å, 90.00 99.94 90.00°
Space group P2/m (No. 10)
Unique sites:
V 0.0000 0.0000 0.0000 x1
Cu 0.0000 0.5000 0.5000 x1
Cl 0.1827 0.0000 0.7090 x2
Cl 0.2352 0.5000 0.1634 x2

Computed properties:
**Magnetic moment**: 2.00 μB/f.u.
**Energy relative to the lowest polymorph listed for this composition**: 0 meV/atom
**Total DFT energy (no corrections)**: -4.370 eV per atom
**Formation energy without anion corrections**: -5.6 eV/f.u.
**Volume**: 24.00 A^3/atom

***

# 10
The following is a PBE calculation of a geometry-optimized Cs3Pm3ZrSe8 structure, from Alexandria via LeMat-Bulk.

Cell: 8.4842 8.4842 25.6893 Å, 90.00 90.00 120.00°
Space group R-3m (No. 166, hexagonal axes)
Unique sites:
Cs 0.0000 0.5000 0.0000 x9
Pm 0.0000 0.5000 0.5000 x9
Zr 0.0000 0.0000 0.5000 x3
Se 0.0000 0.0000 0.2300 x6
Se 0.0214 0.5107 0.2269 x18

Computed properties:
**Magnetic moment**: 0.00 μB/f.u.
**Total DFT energy (no corrections)**: -5.208 eV per atom
**Formation energy without anion corrections**: -24.9 eV/f.u.
**Volume**: 35.59 A^3/atom

***

# 11
The following is a PBE calculation of a geometry-optimized SrAc2As structure, from Alexandria via LeMat-Bulk.

Cell: 4.3212 4.3212 32.9104 Å, 90.00 90.00 120.00°
Space group R-3m (No. 166, hexagonal axes)
Unique sites:
Sr 0.0000 0.0000 0.0000 x3
Ac 0.0000 0.0000 0.2232 x6
As 0.0000 0.0000 0.5000 x3

Computed properties:
**Magnetic moment**: 0.00 μB/f.u.
**ΔE_f**: -2.5 eV/f.u.
**Energy relative to the lowest polymorph listed for this composition**: 0 meV/atom
**Total DFT energy (no corrections)**: -4.252 eV per atom
**Volume**: 44.35 A^3/atom

***

# 12
The following is a PBE calculation of a geometry-optimized Cs5In4Sn2 structure, from Alexandria via LeMat-Bulk.

Cell: 13.7643 7.4379 11.1334 Å, 90.00 117.11 90.00°
Space group C2/m (No. 12)
Unique sites:
Cs 0.0000 0.0000 0.0000 x2
Cs 0.0802 0.2506 0.3685 x8
In 0.1994 0.5000 0.7235 x4
In 0.2006 0.5000 0.9836 x4
Sn 0.2086 0.0000 0.7376 x4

Computed properties:
**Magnetic moment**: 0.00 μB/f.u.
**ΔE_f**: 0.3 eV/f.u.
**Total DFT energy (no corrections)**: -2.085 eV per atom
**Volume**: 46.12 A^3/atom

***

| no. | ρ (g/cm3) |
| --- | --- |
| 1 | 5.46 |
| 2 | 9.81 |
| 3 | 5.71 |
| 4 | 7.59 |
| 5 | 6.77 |
| 6 | 6.39 |
| 7 | 7.36 |
| 8 | 14.40 |
| 9 | 2.96 |
| 10 | 4.84 |
| 11 | 5.77 |
| 12 | 4.46 |